A relaxed ErGa2Ni5 crystal, computed with GGA-PBE.

Cell lengths 3.6034, 6.6307, 9.4662 Å; angles 90.00, 90.00, 90.00 degrees
With the nearest neighbours (Å) after each atom.
Sites, in units of the cell vectors:
1 Er 0.0000 0.0000 0.0000  4 Ga 2.99, 10 Ni 3.01-3.32
2 Er 0.5000 0.5000 0.5000  4 Ga 2.99, 10 Ni 3.01-3.32
3 Ga 0.0000 0.5000 0.2478  7 Ni 2.35-2.45
4 Ga 0.0000 0.5000 0.7522  7 Ni 2.35-2.45
5 Ga 0.5000 0.0000 0.2522  7 Ni 2.35-2.45
6 Ga 0.5000 0.0000 0.7478  7 Ni 2.35-2.45
7 Ni 0.0000 0.1894 0.3675  3 Ga 2.35-2.45, 4 Ni 2.51-2.53
8 Ni 0.0000 0.1894 0.6325  3 Ga 2.35-2.45, 4 Ni 2.51-2.53
9 Ni 0.0000 0.5000 0.0000  2 Ga 2.35, 8 Ni 2.53
10 Ni 0.0000 0.8106 0.3675  3 Ga 2.35-2.45, 4 Ni 2.51-2.53
11 Ni 0.0000 0.8106 0.6325  3 Ga 2.35-2.45, 4 Ni 2.51-2.53
12 Ni 0.5000 0.0000 0.5000  2 Ga 2.35, 8 Ni 2.53
13 Ni 0.5000 0.3106 0.1325  3 Ga 2.35-2.45, 4 Ni 2.51-2.53
14 Ni 0.5000 0.3106 0.8675  3 Ga 2.35-2.45, 4 Ni 2.51-2.53
15 Ni 0.5000 0.6894 0.1325  3 Ga 2.35-2.45, 4 Ni 2.51-2.53
16 Ni 0.5000 0.6894 0.8675  3 Ga 2.35-2.45, 4 Ni 2.51-2.53

Calculated values
DOS at the Fermi energy ... 0.597 states/eV/atom
Formation enthalpy at 0 K ... -286 kJ/mol of formula units
Raw total energy ... -5.311 eV/atom
Crystal system ... orthorhombic



A relaxed NiSb2Os crystal, computed with GGA-PBE.

Cell lengths 3.2501, 3.2501, 23.3977 Å; angles 90.00, 90.00, 120.00 degrees
With the nearest neighbours (Å) after each atom.
Sites, in units of the cell vectors:
1 Ni 0.0000 0.0000 0.0000  6 Sb 2.65
2 Ni 0.3333 0.6667 0.6667  6 Sb 2.65
3 Ni 0.6667 0.3333 0.3333  6 Sb 2.65
4 Sb 0.0000 0.0000 0.2531  3 Ni 2.65, 3 Os 2.76
5 Sb 0.0000 0.0000 0.7469  3 Ni 2.65, 3 Os 2.76
6 Sb 0.3333 0.6667 0.4136  3 Ni 2.65, 3 Os 2.76
7 Sb 0.3333 0.6667 0.9198  3 Ni 2.65, 3 Os 2.76
8 Sb 0.6667 0.3333 0.0802  3 Ni 2.65, 3 Os 2.76
9 Sb 0.6667 0.3333 0.5864  3 Ni 2.65, 3 Os 2.76
10 Os 0.0000 0.0000 0.5000  6 Sb 2.76
11 Os 0.3333 0.6667 0.1667  6 Sb 2.76
12 Os 0.6667 0.3333 0.8333  6 Sb 2.76

Calculated values
Energy above the lowest structure with this stoichiometry ... 0.109 eV/atom
DOS at the Fermi energy ... 0.214 states/eV/atom
Raw total energy ... -6.018 eV/atom
Crystal system ... trigonal



A relaxed LaTi2Ni2 crystal, computed with GGA-PBE.

Cell lengths 4.2877, 4.2877, 10.0711 Å; angles 90.00, 90.00, 90.00 degrees
With the nearest neighbours (Å) after each atom.
Sites, in units of the cell vectors:
1 La 0.0000 0.0000 0.0000  8 Ni 3.28, 8 Ti 3.31
2 La 0.5000 0.5000 0.5000  8 Ni 3.28, 8 Ti 3.31
3 Ti 0.0000 0.5000 0.2500  4 Ni 2.49
4 Ti 0.0000 0.5000 0.7500  4 Ni 2.49
5 Ti 0.5000 0.0000 0.2500  4 Ni 2.49
6 Ti 0.5000 0.0000 0.7500  4 Ni 2.49
7 Ni 0.0000 0.0000 0.3753  4 Ti 2.49, 1 Ni 2.51
8 Ni 0.0000 0.0000 0.6247  4 Ti 2.49, 1 Ni 2.51
9 Ni 0.5000 0.5000 0.1247  4 Ti 2.49, 1 Ni 2.51
10 Ni 0.5000 0.5000 0.8753  4 Ti 2.49, 1 Ni 2.51

Calculated values
Energy above the lowest structure with this stoichiometry ... 0.000 eV/atom
DOS at the Fermi energy ... 0.866 states/eV/atom
Formation enthalpy at 0 K ... -120 kJ/mol of formula units
Raw total energy ... -6.704 eV/atom
Crystal system ... tetragonal



A relaxed S4N crystal, computed with GGA-PBE.

Cell lengths 4.1651, 4.1651, 4.1651 Å; angles 90.00, 90.00, 90.00 degrees
With the nearest neighbours (Å) after each atom.
Sites, in units of the cell vectors:
1 S 0.0000 0.0000 0.0000  12 S 2.95
2 S 0.0000 0.5000 0.5000  2 N 2.08
3 S 0.5000 0.0000 0.5000  2 N 2.08
4 S 0.5000 0.5000 0.0000  2 N 2.08
5 N 0.5000 0.5000 0.5000  6 S 2.08

Calculated values
DOS at the Fermi energy ... 0.892 states/eV/atom
Raw total energy ... -3.454 eV/atom
Crystal system ... cubic



A relaxed Y2Cd2P crystal, computed with GGA-PBE.

Cell lengths 7.3847, 7.3847, 5.0261 Å; angles 90.00, 90.00, 90.00 degrees
With the nearest neighbours (Å) after each atom.
Sites, in units of the cell vectors:
1 Y 0.1722 0.3278 0.0000  2 P 2.73
2 Y 0.3278 0.8278 0.0000  2 P 2.73
3 Y 0.6722 0.1722 0.0000  2 P 2.73
4 Y 0.8278 0.6722 0.0000  2 P 2.73
5 Cd 0.1371 0.6371 0.5000  1 Cd 2.86, 2 Y 3.21
6 Cd 0.3629 0.1371 0.5000  1 Cd 2.86, 2 Y 3.21
7 Cd 0.6371 0.8629 0.5000  1 Cd 2.86, 2 Y 3.21
8 Cd 0.8629 0.3629 0.5000  1 Cd 2.86, 2 Y 3.21
9 P 0.0000 0.0000 0.0000  4 Y 2.73
10 P 0.5000 0.5000 0.0000  4 Y 2.73

Calculated values
Energy above the lowest structure with this stoichiometry ... 0.000 eV/atom
DOS at the Fermi energy ... 0.966 states/eV/atom
Formation enthalpy at 0 K ... -214 kJ/mol of formula units
Raw total energy ... -4.478 eV/atom
Crystal system ... tetragonal



A relaxed TaSiBr crystal, computed with GGA-PBE.

Cell lengths 6.3826, 6.3826, 6.3826 Å; angles 90.00, 90.00, 90.00 degrees
With the nearest neighbours (Å) after each atom.
Sites, in units of the cell vectors:
1 Ta 0.0000 0.0000 0.0000  4 Br 2.76, 4 Si 2.76
2 Ta 0.0000 0.5000 0.5000  4 Br 2.76, 4 Si 2.76
3 Ta 0.5000 0.0000 0.5000  4 Br 2.76, 4 Si 2.76
4 Ta 0.5000 0.5000 0.0000  4 Br 2.76, 4 Si 2.76
5 Si 0.2500 0.2500 0.2500  4 Ta 2.76
6 Si 0.2500 0.7500 0.7500  4 Ta 2.76
7 Si 0.7500 0.2500 0.7500  4 Ta 2.76
8 Si 0.7500 0.7500 0.2500  4 Ta 2.76
9 Br 0.2500 0.2500 0.7500  4 Ta 2.76
10 Br 0.2500 0.7500 0.2500  4 Ta 2.76
11 Br 0.7500 0.2500 0.2500  4 Ta 2.76
12 Br 0.7500 0.7500 0.7500  4 Ta 2.76

Calculated values
DOS at the Fermi energy ... 0.955 states/eV/atom
Raw total energy ... -5.616 eV/atom
Crystal system ... cubic



A relaxed Ti5In2Sb crystal, computed with GGA-PBE.

Cell lengths 4.1904, 4.1904, 16.8433 Å; angles 90.00, 90.00, 90.00 degrees
With the nearest neighbours (Å) after each atom.
Sites, in units of the cell vectors:
1 Ti 0.0000 0.0000 0.0000  8 Ti 2.90, 4 Sb 2.96
2 Ti 0.0000 0.5000 0.1192  2 Sb 2.90, 6 Ti 2.90-2.96, 4 In 3.02-3.06
3 Ti 0.0000 0.5000 0.3808  2 Sb 2.90, 6 Ti 2.90-2.96, 4 In 3.02-3.06
4 Ti 0.0000 0.5000 0.6192  2 Sb 2.90, 6 Ti 2.90-2.96, 4 In 3.02-3.06
5 Ti 0.0000 0.5000 0.8808  2 Sb 2.90, 6 Ti 2.90-2.96, 4 In 3.02-3.06
6 Ti 0.5000 0.0000 0.1192  2 Sb 2.90, 6 Ti 2.90-2.96, 4 In 3.02-3.06
7 Ti 0.5000 0.0000 0.3808  2 Sb 2.90, 6 Ti 2.90-2.96, 4 In 3.02-3.06
8 Ti 0.5000 0.0000 0.6192  2 Sb 2.90, 6 Ti 2.90-2.96, 4 In 3.02-3.06
9 Ti 0.5000 0.0000 0.8808  2 Sb 2.90, 6 Ti 2.90-2.96, 4 In 3.02-3.06
10 Ti 0.5000 0.5000 0.5000  8 Ti 2.90, 4 Sb 2.96
11 In 0.0000 0.0000 0.2485  4 In 2.96, 8 Ti 3.02-3.06
12 In 0.0000 0.0000 0.7515  4 In 2.96, 8 Ti 3.02-3.06
13 In 0.5000 0.5000 0.2515  4 In 2.96, 8 Ti 3.02-3.06
14 In 0.5000 0.5000 0.7485  4 In 2.96, 8 Ti 3.02-3.06
15 Sb 0.0000 0.0000 0.5000  12 Ti 2.90-2.96
16 Sb 0.5000 0.5000 0.0000  12 Ti 2.90-2.96

Calculated values
DOS at the Fermi energy ... 1.205 states/eV/atom
Raw total energy ... -6.402 eV/atom
Crystal system ... tetragonal



A relaxed CeTcB14 crystal, computed with GGA-PBE.

Cell lengths 7.4411, 7.4411, 7.4411 Å; angles 133.46, 85.83, 112.63 degrees
With the nearest neighbours (Å) after each atom.
Sites, in units of the cell vectors:
1 Ce 0.3742 0.1242 0.2500  6 B 2.53-2.80
2 Ce 0.6258 0.8758 0.7500  6 B 2.53-2.80
3 Tc 0.0000 0.0000 0.5000  12 B 2.25-2.51
4 Tc 0.0000 0.5000 0.0000  12 B 2.25-2.51
5 B 0.0095 0.1314 0.8781  3 B 1.69-1.71
6 B 0.0278 0.2044 0.3313  6 B 1.71-1.88
7 B 0.0278 0.6966 0.8234  6 B 1.71-1.88
8 B 0.0889 0.6703 0.4185  5 B 1.69-1.84
9 B 0.2011 0.5343 0.6668  6 B 1.81-1.93
10 B 0.2232 0.4987 0.4009  6 B 1.81-1.90
11 B 0.2232 0.8223 0.7245  6 B 1.81-1.90
12 B 0.2466 0.8686 0.3781  3 B 1.69-1.71
13 B 0.2482 0.3297 0.9185  5 B 1.69-1.84
14 B 0.3674 0.5343 0.8332  6 B 1.81-1.93
15 B 0.3732 0.2044 0.6766  6 B 1.71-1.88
16 B 0.3732 0.6966 0.1687  6 B 1.71-1.88
17 B 0.4022 0.1777 0.9009  6 B 1.81-1.90
18 B 0.4022 0.5013 0.2245  6 B 1.81-1.90
19 B 0.5978 0.4987 0.7755  6 B 1.81-1.90
20 B 0.5978 0.8223 0.0991  6 B 1.81-1.90
21 B 0.6268 0.3034 0.8313  6 B 1.71-1.88
22 B 0.6268 0.7956 0.3234  6 B 1.71-1.88
23 B 0.6326 0.4657 0.1668  6 B 1.81-1.93
24 B 0.7518 0.6703 0.0815  5 B 1.69-1.84
25 B 0.7534 0.1314 0.6219  3 B 1.69-1.71
26 B 0.7768 0.1777 0.2755  6 B 1.81-1.90
27 B 0.7768 0.5013 0.5991  6 B 1.81-1.90
28 B 0.7989 0.4657 0.3332  6 B 1.81-1.93
29 B 0.9111 0.3297 0.5815  5 B 1.69-1.84
30 B 0.9722 0.3034 0.1766  6 B 1.71-1.88
31 B 0.9722 0.7956 0.6687  6 B 1.71-1.88
32 B 0.9905 0.8686 0.1219  3 B 1.69-1.71

Calculated values
DOS at the Fermi energy ... 0.377 states/eV/atom
Formation enthalpy at 0 K ... -183 kJ/mol of formula units
Raw total energy ... -6.980 eV/atom
Crystal system ... orthorhombic



A relaxed Ce4ZrAs5 crystal, computed with GGA-PBE.

Cell lengths 14.8843, 14.8843, 14.8843 Å; angles 163.96, 163.96, 22.75 degrees
With the nearest neighbours (Å) after each atom.
Sites, in units of the cell vectors:
1 Ce 0.0977 0.0977 0.0000  6 As 2.85-2.97
2 Ce 0.3018 0.3018 0.0000  6 As 2.94-3.00
3 Ce 0.6982 0.6982 0.0000  6 As 2.94-3.00
4 Ce 0.9023 0.9023 0.0000  6 As 2.85-2.97
5 Zr 0.5000 0.5000 0.0000  6 As 2.78-2.94
6 As 0.0000 0.0000 0.0000  2 Ce 2.85, 4 Zr 2.94
7 As 0.1996 0.1996 0.0000  6 Ce 2.94-2.98
8 As 0.4047 0.4047 0.0000  1 Zr 2.78, 5 Ce 2.94-3.00
9 As 0.5953 0.5953 0.0000  1 Zr 2.78, 5 Ce 2.94-3.00
10 As 0.8004 0.8004 0.0000  6 Ce 2.94-2.98

Calculated values
Energy above the lowest structure with this stoichiometry ... 0.021 eV/atom
DOS at the Fermi energy ... 2.024 states/eV/atom
Formation enthalpy at 0 K ... -1284 kJ/mol of formula units
Raw total energy ... -6.884 eV/atom
Crystal system ... tetragonal



A relaxed LaP2SeS crystal, computed with GGA-PBE.

Cell lengths 4.7994, 4.7994, 4.8749 Å; angles 90.00, 90.00, 90.00 degrees
With the nearest neighbours (Å) after each atom.
Sites, in units of the cell vectors:
1 La 0.0000 0.0000 0.0000  4 S 3.39, 8 P 3.42
2 P 0.0000 0.5000 0.5000  2 Se 2.40
3 P 0.5000 0.0000 0.5000  2 Se 2.40
4 Se 0.5000 0.5000 0.5000  4 P 2.40, 2 S 2.44
5 S 0.5000 0.5000 0.0000  2 Se 2.44

Calculated values
Energy above the lowest structure with this stoichiometry ... 0.000 eV/atom
DOS at the Fermi energy ... 0.681 states/eV/atom
Raw total energy ... -4.831 eV/atom
Crystal system ... tetragonal



A relaxed SrZrCoHg2 crystal, computed with GGA-PBE.

Cell lengths 5.7032, 5.7032, 5.8325 Å; angles 90.00, 90.00, 90.00 degrees
With the nearest neighbours (Å) after each atom.
Sites, in units of the cell vectors:
1 Sr 0.0000 0.0000 0.0000  4 Hg 2.85, 2 Zr 2.92
2 Zr 0.0000 0.0000 0.5000  2 Sr 2.92
3 Co 0.5000 0.5000 0.5000  4 Zr 4.03, 8 Hg 4.08
4 Hg 0.0000 0.5000 0.0000  2 Sr 2.85
5 Hg 0.5000 0.0000 0.0000  2 Sr 2.85

Calculated values
DOS at the Fermi energy ... 2.002 states/eV/atom
Formation enthalpy at 0 K ... 850 kJ/mol of formula units
Raw total energy ... -1.827 eV/atom
Crystal system ... tetragonal



A relaxed Ac6Tl4Pb7 crystal, computed with GGA-PBE.

Cell lengths 9.3264, 9.3264, 9.3264 Å; angles 109.47, 109.47, 109.47 degrees
With the nearest neighbours (Å) after each atom.
Sites, in units of the cell vectors:
1 Ac 0.0000 0.2985 0.2985  5 Pb 3.21-3.46
2 Ac 0.0000 0.7015 0.7015  5 Pb 3.21-3.46
3 Ac 0.2985 0.0000 0.2985  5 Pb 3.21-3.46
4 Ac 0.2985 0.2985 0.0000  5 Pb 3.21-3.46
5 Ac 0.7015 0.0000 0.7015  5 Pb 3.21-3.46
6 Ac 0.7015 0.7015 0.0000  5 Pb 3.21-3.46
7 Tl 0.0000 0.0000 0.5000  6 Pb 3.81, 6 Ac 3.84
8 Tl 0.0000 0.5000 0.0000  6 Pb 3.81, 6 Ac 3.84
9 Tl 0.5000 0.0000 0.0000  6 Pb 3.81, 6 Ac 3.84
10 Tl 0.5000 0.5000 0.5000  6 Pb 3.81, 6 Ac 3.84
11 Pb 0.0000 0.0000 0.0000  6 Ac 3.21
12 Pb 0.2500 0.5000 0.7500  4 Ac 3.46, 4 Tl 3.81, 4 Pb 3.81
13 Pb 0.2500 0.7500 0.5000  4 Ac 3.46, 4 Tl 3.81, 4 Pb 3.81
14 Pb 0.5000 0.2500 0.7500  4 Ac 3.46, 4 Tl 3.81, 4 Pb 3.81
15 Pb 0.5000 0.7500 0.2500  4 Ac 3.46, 4 Pb 3.81, 4 Tl 3.81
16 Pb 0.7500 0.2500 0.5000  4 Ac 3.46, 4 Pb 3.81, 4 Tl 3.81
17 Pb 0.7500 0.5000 0.2500  4 Ac 3.46, 4 Tl 3.81, 4 Pb 3.81

Calculated values
DOS at the Fermi energy ... 1.186 states/eV/atom
Formation enthalpy at 0 K ... -261 kJ/mol of formula units
Raw total energy ... -3.693 eV/atom
Crystal system ... cubic